Compound: Li2AcTcN4
Source: Alexandria
Functional: PBE
Structure: optimized geometry

Cell lengths 7.850, 5.295, 5.322 Å; angles 90.00, 90.00, 90.00 degrees
Space group Pmn2_1 (No. 31)
Symmetry-distinct sites (fractional):
Li (0.245, 0.206, 0.000) (multiplicity 4)
Ac (0.000, 0.236, 0.504) (multiplicity 2)
Tc (0.000, 0.704, 0.990) (multiplicity 2)
N (0.000, 0.360, 0.029) (multiplicity 2)
N (0.000, 0.745, 0.648) (multiplicity 2)
N (0.189, 0.843, 0.131) (multiplicity 4)

Output
energy relative to the elements, uncorrected	-665	meV per atom